# 1
# PBE SmTm3, optimized geometry
# - Volume: 125.3 Å³/f.u.
# - Formation energy from the elements: 0.007 eV/atom
# - E above lowest polymorph: 0.03 kcal/mol of atoms
data_SmTm3
_chemical_formula_sum 'Sm2 Tm6'
_cell_length_a 3.6026
_cell_length_b 11.1923
_cell_length_c 6.2168
_cell_angle_alpha 90.00
_cell_angle_beta 90.00
_cell_angle_gamma 90.00
_symmetry_space_group_name_H-M 'I m m 2'
_symmetry_Int_Tables_number 44
loop_
_symmetry_equiv_pos_as_xyz
'x,y,z'
'-x,-y,z'
'-x,y,z'
'x,-y,z'
'x+1/2,y+1/2,z+1/2'
'-x+1/2,-y+1/2,z+1/2'
'-x+1/2,y+1/2,z+1/2'
'x+1/2,-y+1/2,z+1/2'
loop_
_atom_site_label
_atom_site_type_symbol
_atom_site_fract_x
_atom_site_fract_y
_atom_site_fract_z
Sm1 Sm 0.0000 0.0000 0.0000
Tm1 Tm 0.0000 0.2484 0.6640
Tm2 Tm 0.0000 0.5000 0.9971

# 2
# PBE BaMgZnF6, optimized geometry
# - E_form (uncorrected): -2718 kJ/mol of formula units
# - Volume: 132.1 Å³/f.u.
data_BaMgZnF6
_chemical_formula_sum 'Ba4 Mg4 Zn4 F24'
_cell_length_a 7.1677
_cell_length_b 7.2120
_cell_length_c 10.2242
_cell_angle_alpha 90.00
_cell_angle_beta 90.00
_cell_angle_gamma 90.00
_symmetry_space_group_name_H-M 'I m m a'
_symmetry_Int_Tables_number 74
_symmetry_space_group_name_Hall '-I 2b 2'
loop_
_atom_site_label
_atom_site_type_symbol
_atom_site_fract_x
_atom_site_fract_y
_atom_site_fract_z
Ba1 Ba 0.0000 0.2500 0.1344
Mg1 Mg 0.0000 0.0000 0.5000
Zn1 Zn 0.2500 0.2500 0.7500
F1 F 0.0000 0.2500 0.4316
F2 F 0.0000 0.2500 0.8526
F3 F 0.2078 0.0276 0.6286

# 3
# PBE Y2Er2Se2S3, optimized geometry
# - E_form (uncorrected): -1452 kJ/mol of formula units
# - Volume: 205.5 Å³/f.u.
data_Y2Er2Se2S3
_chemical_formula_sum 'Y4 Er4 Se4 S6'
_cell_length_a 5.3103
_cell_length_b 5.3103
_cell_length_c 14.5770
_cell_angle_alpha 90.00
_cell_angle_beta 90.00
_cell_angle_gamma 90.00
_symmetry_space_group_name_H-M 'I 4/m m m'
_symmetry_Int_Tables_number 139
_symmetry_space_group_name_Hall '-I 4 2'
loop_
_atom_site_label
_atom_site_type_symbol
_atom_site_fract_x
_atom_site_fract_y
_atom_site_fract_z
Y1 Y 0.0000 0.0000 0.2016
Er1 Er 0.0000 0.5000 0.0000
Se1 Se 0.0000 0.0000 0.3972
S1 S 0.0000 0.0000 0.0000
S2 S 0.0000 0.5000 0.2500

# 4
# PBE KAgSeO6, optimized geometry
# - E_form (uncorrected): -404 kJ/mol of formula units
# - Volume: 140.0 Å³/f.u.
data_KAgSeO6
_chemical_formula_sum 'K1 Ag1 Se1 O6'
_cell_length_a 5.1722
_cell_length_b 5.1722
_cell_length_c 6.0448
_cell_angle_alpha 90.00
_cell_angle_beta 90.00
_cell_angle_gamma 120.00
_symmetry_space_group_name_H-M 'P 3 1 2'
_symmetry_Int_Tables_number 149
loop_
_symmetry_equiv_pos_as_xyz
'x,y,z'
'-y,x-y,z'
'-x+y,-x,z'
'-y,-x,-z'
'-x+y,y,-z'
'x,x-y,-z'
loop_
_atom_site_label
_atom_site_type_symbol
_atom_site_fract_x
_atom_site_fract_y
_atom_site_fract_z
K1 K 0.0000 0.0000 0.0000
Ag1 Ag 0.6667 0.3333 0.5000
Se1 Se 0.3333 0.6667 0.5000
O1 O 0.0379 0.3959 0.3232

# 5
# PBE SnH3W, optimized geometry
# - Volume: 50.2 Å³/f.u.
# - E above lowest polymorph: 0.00 kcal/mol of atoms
data_SnH3W
_chemical_formula_sum 'Sn1 H3 W1'
_cell_length_a 3.6884
_cell_length_b 3.6884
_cell_length_c 3.6884
_cell_angle_alpha 90.00
_cell_angle_beta 90.00
_cell_angle_gamma 90.00
_symmetry_space_group_name_H-M 'P m -3 m'
_symmetry_Int_Tables_number 221
_symmetry_space_group_name_Hall '-P 4 2 3'
loop_
_atom_site_label
_atom_site_type_symbol
_atom_site_fract_x
_atom_site_fract_y
_atom_site_fract_z
Sn1 Sn 0.0000 0.0000 0.0000
H1 H 0.0000 0.5000 0.5000
W1 W 0.5000 0.5000 0.5000

# 6
# PBE CaTlSiTeSeF, optimized geometry
# - E_form (uncorrected): -712 kJ/mol of formula units
# - Volume: 171.3 Å³/f.u.
# - E above lowest polymorph: 0.78 kcal/mol of atoms
data_CaTlSiTeSeF
_chemical_formula_sum 'Ca1 Tl1 Si1 Te1 Se1 F1'
_cell_length_a 3.8410
_cell_length_b 6.2691
_cell_length_c 7.4189
_cell_angle_alpha 106.47
_cell_angle_beta 90.29
_cell_angle_gamma 90.14
_symmetry_space_group_name_H-M 'P 1'
_symmetry_Int_Tables_number 1
loop_
_symmetry_equiv_pos_as_xyz
'x,y,z'
loop_
_atom_site_label
_atom_site_type_symbol
_atom_site_fract_x
_atom_site_fract_y
_atom_site_fract_z
Ca1 Ca 0.0000 0.0000 0.0000
Tl1 Tl 0.0089 0.7043 0.4790
Si1 Si 0.5024 0.5736 0.0790
Te1 Te 0.9995 0.4252 0.8270
Se1 Se 0.5037 0.3233 0.2660
F1 F 0.4984 0.9311 0.8447

# 7
# PBE LiTeMo2, optimized geometry
# - E_form (uncorrected): 154 kJ/mol of formula units
# - Volume: 75.4 Å³/f.u.
data_LiTeMo2
_chemical_formula_sum 'Li1 Te1 Mo2'
_cell_length_a 3.1986
_cell_length_b 4.9682
_cell_length_c 4.7825
_cell_angle_alpha 90.00
_cell_angle_beta 97.17
_cell_angle_gamma 90.00
_symmetry_space_group_name_H-M 'P 1 2/m 1'
_symmetry_Int_Tables_number 10
loop_
_symmetry_equiv_pos_as_xyz
'x,y,z'
'-x,-y,-z'
'-x,y,-z'
'x,-y,z'
loop_
_atom_site_label
_atom_site_type_symbol
_atom_site_fract_x
_atom_site_fract_y
_atom_site_fract_z
Li1 Li 0.0000 0.0000 0.0000
Te1 Te 0.5000 0.0000 0.5000
Mo1 Mo 0.3032 0.5000 0.1913

# 8
# PBE LaCe7Sn4, optimized geometry
# - Volume: 357.2 Å³/f.u.
# - Formation energy from the elements: -0.238 eV/atom
data_LaCe7Sn4
_chemical_formula_sum 'La2 Ce14 Sn8'
_cell_length_a 12.2958
_cell_length_b 5.8910
_cell_length_c 11.5311
_cell_angle_alpha 90.00
_cell_angle_beta 121.21
_cell_angle_gamma 90.00
_symmetry_space_group_name_H-M 'C 1 2/m 1'
_symmetry_Int_Tables_number 12
loop_
_symmetry_equiv_pos_as_xyz
'x,y,z'
'-x,-y,-z'
'-x,y,-z'
'x,-y,z'
'x+1/2,y+1/2,z'
'-x+1/2,-y+1/2,-z'
'-x+1/2,y+1/2,-z'
'x+1/2,-y+1/2,z'
loop_
_atom_site_label
_atom_site_type_symbol
_atom_site_fract_x
_atom_site_fract_y
_atom_site_fract_z
La1 La 0.0000 0.0000 0.0000
Ce1 Ce 0.0000 0.5000 0.0000
Ce2 Ce 0.0941 0.0000 0.4404
Ce3 Ce 0.1790 0.5000 0.6459
Ce4 Ce 0.1933 0.5000 0.8922
Sn1 Sn 0.1055 0.5000 0.3250
Sn2 Sn 0.1958 0.0000 0.7809

# 9
# PBE AlReRu2, optimized geometry
# - Volume: 57.4 Å³/f.u.
# - Formation energy from the elements: -0.075 eV/atom
data_AlReRu2
_chemical_formula_sum 'Al3 Re3 Ru6'
_cell_length_a 2.7660
_cell_length_b 2.7660
_cell_length_c 25.9784
_cell_angle_alpha 90.00
_cell_angle_beta 90.00
_cell_angle_gamma 120.00
_symmetry_space_group_name_H-M 'R 3 m'
_symmetry_Int_Tables_number 160
_symmetry_space_group_name_Hall 'R 3 -2"'
loop_
_atom_site_label
_atom_site_type_symbol
_atom_site_fract_x
_atom_site_fract_y
_atom_site_fract_z
Al1 Al 0.0000 0.0000 0.0000
Re1 Re 0.0000 0.0000 0.2472
Ru1 Ru 0.0000 0.0000 0.4990
Ru2 Ru 0.0000 0.0000 0.7472

# 10
# PBE Cd6NiAu8, optimized geometry
# - Volume: 291.2 Å³/f.u.
# - Formation energy from the elements: -0.097 eV/atom
data_Cd6NiAu8
_chemical_formula_sum 'Cd18 Ni3 Au24'
_cell_length_a 7.5039
_cell_length_b 7.5039
_cell_length_c 17.9167
_cell_angle_alpha 90.00
_cell_angle_beta 90.00
_cell_angle_gamma 120.00
_symmetry_space_group_name_H-M 'R -3'
_symmetry_Int_Tables_number 148
_symmetry_space_group_name_Hall '-R 3'
loop_
_atom_site_label
_atom_site_type_symbol
_atom_site_fract_x
_atom_site_fract_y
_atom_site_fract_z
Cd1 Cd 0.0564 0.4515 0.3913
Ni1 Ni 0.0000 0.0000 0.0000
Au1 Au 0.0000 0.0000 0.1502
Au2 Au 0.0332 0.2425 0.5649

# 11
# PBE RbCeGa2O6, optimized geometry
# - E_form (uncorrected): -1943 kJ/mol of formula units
# - Volume: 170.0 Å³/f.u.
data_RbCeGa2O6
_chemical_formula_sum 'Rb4 Ce4 Ga8 O24'
_cell_length_a 10.2231
_cell_length_b 11.2117
_cell_length_c 6.0605
_cell_angle_alpha 90.00
_cell_angle_beta 101.79
_cell_angle_gamma 90.00
_symmetry_space_group_name_H-M 'C 1 2/c 1'
_symmetry_Int_Tables_number 15
loop_
_symmetry_equiv_pos_as_xyz
'x,y,z'
'-x,-y,-z'
'-x,y,-z+1/2'
'x,-y,z+1/2'
'x+1/2,y+1/2,z'
'-x+1/2,-y+1/2,-z'
'-x+1/2,y+1/2,-z+1/2'
'x+1/2,-y+1/2,z+1/2'
loop_
_atom_site_label
_atom_site_type_symbol
_atom_site_fract_x
_atom_site_fract_y
_atom_site_fract_z
Rb1 Rb 0.0000 0.0855 0.2500
Ce1 Ce 0.0000 0.2871 0.7500
Ga1 Ga 0.1963 0.4235 0.1686
O1 O 0.0536 0.3142 0.1188
O2 O 0.1407 0.1466 0.7254
O3 O 0.1710 0.4474 0.8474

# 12
# PBE VZnNi, optimized geometry
# - Volume: 37.8 Å³/f.u.
# - Formation energy from the elements: -0.122 eV/atom
data_VZnNi
_chemical_formula_sum 'V2 Zn2 Ni2'
_cell_length_a 2.6014
_cell_length_b 2.6014
_cell_length_c 11.1738
_cell_angle_alpha 90.00
_cell_angle_beta 90.00
_cell_angle_gamma 90.00
_symmetry_space_group_name_H-M 'I 4 m m'
_symmetry_Int_Tables_number 107
_symmetry_space_group_name_Hall 'I 4 -2'
loop_
_atom_site_label
_atom_site_type_symbol
_atom_site_fract_x
_atom_site_fract_y
_atom_site_fract_z
V1 V 0.0000 0.0000 0.0000
Zn1 Zn 0.0000 0.0000 0.6830
Ni1 Ni 0.0000 0.0000 0.3434

# 13
# PBE ZnFeTc2, optimized geometry
# - Volume: 55.2 Å³/f.u.
# - Formation energy from the elements: 0.113 eV/atom
data_ZnFeTc2
_chemical_formula_sum 'Zn1 Fe1 Tc2'
_cell_length_a 2.7078
_cell_length_b 3.8561
_cell_length_c 5.2819
_cell_angle_alpha 90.00
_cell_angle_beta 90.00
_cell_angle_gamma 90.00
_symmetry_space_group_name_H-M 'P m m 2'
_symmetry_Int_Tables_number 25
loop_
_symmetry_equiv_pos_as_xyz
'x,y,z'
'-x,-y,z'
'-x,y,z'
'x,-y,z'
loop_
_atom_site_label
_atom_site_type_symbol
_atom_site_fract_x
_atom_site_fract_y
_atom_site_fract_z
Zn1 Zn 0.0000 0.0000 0.0000
Fe1 Fe 0.5000 0.5000 0.2329
Tc1 Tc 0.0000 0.0000 0.4950
Tc2 Tc 0.5000 0.5000 0.7280

# 14
# PBE NdHo5Er8, optimized geometry
# - Volume: 449.8 Å³/f.u.
# - Formation energy from the elements: 0.249 eV/atom
data_NdHo5Er8
_chemical_formula_sum 'Nd2 Ho10 Er16'
_cell_length_a 9.4311
_cell_length_b 9.4311
_cell_length_c 10.1148
_cell_angle_alpha 90.00
_cell_angle_beta 90.00
_cell_angle_gamma 90.00
_symmetry_space_group_name_H-M 'I -4'
_symmetry_Int_Tables_number 82
loop_
_symmetry_equiv_pos_as_xyz
'x,y,z'
'y,-x,-z'
'-x,-y,z'
'-y,x,-z'
'x+1/2,y+1/2,z+1/2'
'y+1/2,-x+1/2,-z+1/2'
'-x+1/2,-y+1/2,z+1/2'
'-y+1/2,x+1/2,-z+1/2'
loop_
_atom_site_label
_atom_site_type_symbol
_atom_site_fract_x
_atom_site_fract_y
_atom_site_fract_z
Nd1 Nd 0.0000 0.0000 0.0000
Ho1 Ho 0.0000 0.5000 0.2500
Ho2 Ho 0.1136 0.2900 0.6758
Er1 Er 0.0711 0.1767 0.3506
Er2 Er 0.0888 0.3287 0.0023

# 15
# PBE SnHgPd2, optimized geometry
# - Volume: 83.6 Å³/f.u.
# - Formation energy from the elements: -0.167 eV/atom
# - E above lowest polymorph: 3.28 kcal/mol of atoms
data_SnHgPd2
_chemical_formula_sum 'Sn3 Hg3 Pd6'
_cell_length_a 3.7886
_cell_length_b 3.7886
_cell_length_c 20.1760
_cell_angle_alpha 90.00
_cell_angle_beta 90.00
_cell_angle_gamma 120.00
_symmetry_space_group_name_H-M 'R 3 m'
_symmetry_Int_Tables_number 160
_symmetry_space_group_name_Hall 'R 3 -2"'
loop_
_atom_site_label
_atom_site_type_symbol
_atom_site_fract_x
_atom_site_fract_y
_atom_site_fract_z
Sn1 Sn 0.0000 0.0000 0.0000
Hg1 Hg 0.0000 0.0000 0.1683
Pd1 Pd 0.0000 0.0000 0.4113
Pd2 Pd 0.0000 0.0000 0.5896

# 16
# PBE PrInBr, optimized geometry
# - E_form (uncorrected): -312 kJ/mol of formula units
# - Volume: 102.1 Å³/f.u.
data_PrInBr
_chemical_formula_sum 'Pr6 In6 Br6'
_cell_length_a 4.5813
_cell_length_b 4.5813
_cell_length_c 33.7138
_cell_angle_alpha 90.00
_cell_angle_beta 90.00
_cell_angle_gamma 120.00
_symmetry_space_group_name_H-M 'R -3 m'
_symmetry_Int_Tables_number 166
_symmetry_space_group_name_Hall '-R 3 2"'
loop_
_atom_site_label
_atom_site_type_symbol
_atom_site_fract_x
_atom_site_fract_y
_atom_site_fract_z
Pr1 Pr 0.0000 0.0000 0.0673
In1 In 0.0000 0.0000 0.3473
Br1 Br 0.0000 0.0000 0.2166

How do the records compare in raw total energy? In the order shown, they have -4.526 -4.910 -6.272 -4.596 -4.876 -4.278 -6.279 -5.445 -8.761 -2.596 -6.284 -5.514 -7.505 -4.333 -3.839 -4.141 eV/atom.